The following is a GGA+U calculation of a relaxed structure of Li4Cr5WO12, from Alexandria.

abc: 5.2691 5.2691 10.4439
angles: 94.15 94.15 120.59
With the nearest neighbours (Å) after each atom.
Atoms (fractional coordinates):
Li: 0.0581 0.3952 0.2083  4 O 1.98-2.05
Li: 0.3952 0.0581 0.2083  4 O 1.98-2.05
Li: 0.6048 0.9419 0.7917  4 O 1.98-2.05
Li: 0.9419 0.6048 0.7917  4 O 1.98-2.05
Cr: 0.0000 0.0000 0.0000  6 O 2.00-2.08
Cr: 0.1667 0.8333 0.5000  6 O 2.01-2.04
Cr: 0.3367 0.6633 0.0000  6 O 2.02-2.07
Cr: 0.6633 0.3367 0.0000  6 O 2.02-2.07
Cr: 0.8333 0.1667 0.5000  6 O 2.01-2.04
W: 0.5000 0.5000 0.5000  6 O 1.95-2.05
O: 0.0425 0.6972 0.1032  2 Li 2.02-2.03, 3 Cr 2.02-2.08
O: 0.1376 0.4761 0.3998  1 Li 1.98, 2 Cr 2.01-2.04, 1 W 2.05
O: 0.2043 0.2043 0.5946  1 W 1.95, 2 Cr 2.03
O: 0.3028 0.9575 0.8968  2 Li 2.02-2.03, 3 Cr 2.02-2.08
O: 0.3532 0.3532 0.1041  3 Cr 2.00-2.06, 2 Li 2.05
O: 0.4761 0.1376 0.3998  1 Li 1.98, 2 Cr 2.01-2.04, 1 W 2.05
O: 0.5239 0.8624 0.6002  1 Li 1.98, 2 Cr 2.01-2.04, 1 W 2.05
O: 0.6468 0.6468 0.8959  3 Cr 2.00-2.06, 2 Li 2.05
O: 0.6972 0.0425 0.1032  2 Li 2.02-2.03, 3 Cr 2.02-2.08
O: 0.7957 0.7957 0.4054  1 W 1.95, 2 Cr 2.03
O: 0.8624 0.5239 0.6002  1 Li 1.98, 2 Cr 2.01-2.04, 1 W 2.05
O: 0.9575 0.3028 0.8968  2 Li 2.02-2.03, 3 Cr 2.02-2.08

Values from the calculation:
For the electronic total energy, the calculation gives -7.076 eV per atom. The value obtained for the magnetization is 16.00 μB/cell.